No. 1
Crystalline La9Pm4Cd11 at its relaxed geometry, computed with PBE.

a b c (Å): 14.4614 14.4614 3.6803
angles (deg): 90.00 90.00 111.06
Last column: nearest neighbours and their distance in Å.
Positions (direct):
La: 0.0000 0.0000 0.0000  4 Pm 3.39, 4 Cd 3.65, 2 La 3.68
La: 0.1243 0.6525 0.0000  8 Cd 3.36-3.59, 1 Pm 3.50, 3 La 3.65-3.68
La: 0.2915 0.4641 0.0000  8 Cd 3.38-3.46, 1 Pm 3.62, 2 La 3.68
La: 0.3475 0.8757 0.0000  8 Cd 3.36-3.59, 1 Pm 3.50, 3 La 3.65-3.68
La: 0.4641 0.2915 0.0000  8 Cd 3.38-3.46, 1 Pm 3.62, 2 La 3.68
La: 0.5359 0.7085 0.0000  8 Cd 3.38-3.46, 1 Pm 3.62, 2 La 3.68
La: 0.6525 0.1243 0.0000  8 Cd 3.36-3.59, 1 Pm 3.50, 3 La 3.65-3.68
La: 0.7085 0.5359 0.0000  8 Cd 3.38-3.46, 1 Pm 3.62, 2 La 3.68
La: 0.8757 0.3475 0.0000  8 Cd 3.36-3.59, 1 Pm 3.50, 3 La 3.65-3.68
Pm: 0.0647 0.2496 0.0000  6 Cd 3.25-3.33, 3 La 3.39-3.62
Pm: 0.2496 0.0647 0.0000  6 Cd 3.25-3.33, 3 La 3.39-3.62
Pm: 0.7504 0.9353 0.0000  6 Cd 3.25-3.33, 3 La 3.39-3.62
Pm: 0.9353 0.7504 0.0000  6 Cd 3.25-3.33, 3 La 3.39-3.62
Cd: 0.0856 0.4477 0.5000  2 Pm 3.33, 3 Cd 3.33-3.68, 6 La 3.36-3.44
Cd: 0.1320 0.8680 0.5000  4 Pm 3.30, 6 La 3.59-3.65, 2 Cd 3.68
Cd: 0.2504 0.2504 0.5000  4 Pm 3.25, 4 La 3.46
Cd: 0.3298 0.6702 0.5000  8 La 3.38-3.43, 2 Cd 3.68
Cd: 0.4477 0.0856 0.5000  2 Pm 3.33, 3 Cd 3.33-3.68, 6 La 3.36-3.44
Cd: 0.5000 0.5000 0.5000  8 La 3.41, 2 Cd 3.68
Cd: 0.5523 0.9144 0.5000  2 Pm 3.33, 3 Cd 3.33-3.68, 6 La 3.36-3.44
Cd: 0.6702 0.3298 0.5000  8 La 3.38-3.43, 2 Cd 3.68
Cd: 0.7496 0.7496 0.5000  4 Pm 3.25, 4 La 3.46
Cd: 0.8680 0.1320 0.5000  4 Pm 3.30, 6 La 3.59-3.65, 2 Cd 3.68
Cd: 0.9144 0.5523 0.5000  2 Pm 3.33, 3 Cd 3.33-3.68, 6 La 3.36-3.44

Theoretical density   7.1 g cm⁻³
Formation enthalpy at 0 K   -0.265 eV/atom
DOS(E_F)   26.2 states/eV/cell
Space group   Cmmm
Total DFT energy (no corrections)   -3.32 eV per atom



No. 2
Crystalline HgTe2Au at its relaxed geometry, computed with PBE.

a b c (Å): 6.9124 6.9124 6.6611
angles (deg): 104.57 104.57 25.77
Last column: nearest neighbours and their distance in Å.
Positions (direct):
Hg: 0.0000 0.0000 0.0000  1 Au 2.97, 2 Hg 3.08, 1 Te 3.20
Te: 0.6392 0.6392 0.5136  2 Au 2.84, 2 Te 3.08
Te: 0.8159 0.8159 0.2219  2 Au 2.85, 2 Te 3.08
Au: 0.1985 0.1985 0.8833  4 Te 2.84-2.85, 1 Hg 2.97, 2 Au 3.08

Theoretical density   8.1 g cm⁻³
DOS(E_F)   1.7 states/eV/cell
Space group   Cm
Total DFT energy (no corrections)   -2.37 eV per atom



No. 3
Crystalline LaPrEr2Tm5 at its relaxed geometry, computed with PBE.

a b c (Å): 9.7330 9.7330 9.7330
angles (deg): 126.06 126.06 79.79
Last column: nearest neighbours and their distance in Å.
Positions (direct):
La: 0.2500 0.2500 0.0000  10 Tm 3.65-3.73
La: 0.7500 0.7500 0.0000  10 Tm 3.65-3.73
Pr: 0.2500 0.7500 0.5000  4 Tm 3.10
Pr: 0.7500 0.2500 0.5000  4 Tm 3.10
Er: 0.1146 0.6146 0.7292  1 Er 2.86, 2 Tm 2.99
Er: 0.3854 0.1146 0.5000  1 Er 2.86, 2 Tm 2.99
Er: 0.6146 0.8854 0.5000  1 Er 2.86, 2 Tm 2.99
Er: 0.8854 0.3854 0.2708  1 Er 2.86, 2 Tm 2.99
Tm: 0.0000 0.0000 0.0000  4 Er 3.55, 8 Tm 3.72, 2 La 3.73
Tm: 0.0729 0.1681 0.5000  1 Er 2.99, 1 Pr 3.10
Tm: 0.1681 0.6681 0.0952  1 Er 2.99, 1 Pr 3.10
Tm: 0.3319 0.4271 0.5000  1 Er 2.99, 1 Pr 3.10
Tm: 0.4271 0.9271 0.0952  1 Er 2.99, 1 Pr 3.10
Tm: 0.5000 0.5000 0.0000  4 Er 3.55, 8 Tm 3.72, 2 La 3.73
Tm: 0.5729 0.0729 0.9048  1 Er 2.99, 1 Pr 3.10
Tm: 0.6681 0.5729 0.5000  1 Er 2.99, 1 Pr 3.10
Tm: 0.8319 0.3319 0.9048  1 Er 2.99, 1 Pr 3.10
Tm: 0.9271 0.8319 0.5000  1 Er 2.99, 1 Pr 3.10

Theoretical density   8.3 g cm⁻³
Formation enthalpy at 0 K   0.278 eV/atom
DOS(E_F)   24.1 states/eV/cell
Space group   I4/mcm
Total DFT energy (no corrections)   -4.30 eV per atom



No. 4
Crystalline SmPbClO2 at its relaxed geometry, computed with PBE.

a b c (Å): 6.8599 4.0231 8.3805
angles (deg): 90.00 108.86 90.00
Last column: nearest neighbours and their distance in Å.
Positions (direct):
Sm: 0.1672 0.2500 0.4208  4 O 2.29-2.32
Sm: 0.8328 0.7500 0.5792  4 O 2.29-2.32
Pb: 0.1826 0.2500 0.9258  4 O 2.37-2.45
Pb: 0.8174 0.7500 0.0742  4 O 2.37-2.45
Cl: 0.4517 0.7500 0.6598  3 Sm 2.90-3.06, 1 O 3.23
Cl: 0.5483 0.2500 0.3402  3 Sm 2.90-3.06, 1 O 3.23
O: 0.9999 0.2500 0.6213  3 Sm 2.29-2.32, 1 Pb 2.45
O: 0.0001 0.7500 0.3787  3 Sm 2.29-2.32, 1 Pb 2.45
O: 0.0141 0.2500 0.1322  1 Sm 2.30, 3 Pb 2.37-2.38
O: 0.9859 0.7500 0.8678  1 Sm 2.30, 3 Pb 2.37-2.38

Theoretical density   6.4 g cm⁻³
DOS(E_F)   0.0 states/eV/cell
Space group   P2_1/m
Total DFT energy (no corrections)   -6.35 eV per atom